Computed, not measured: an optimized crystal structure of NdAl5IrPd at the GGA-PBE level of DFT.

mass density: 6.52 g cm⁻³
VASP energy: -86.73 eV per cell
magnetization: 0.0 μB per cell

Cell lengths 4.081, 7.275, 9.917 Å; angles 90.00, 90.00, 90.00 degrees
Space group Imm2 (No. 44)
One atom of each set of equivalent atoms:
Nd 0.000 0.000 0.000 x2
Al 0.000 0.187 0.344 x4
Al 0.000 0.193 0.648 x4
Al 0.000 0.500 0.001 x2
Ir 0.000 0.500 0.759 x2
Pd 0.000 0.500 0.243 x2